(1)
{
  "formula": "ScSb2Se",
  "functional": "PBE-GGA",
  "state": "relaxed",
  "formation_energy_uncorrected_ev_per_atom": -0.235,
  "space_group": "F-43m, No. 216",
  "dos_at_fermi_per_ev_cell": 5.18,
  "m_tot_mub_per_fu": 0.52,
  "lattice_angstrom": [[5.1601, 0.0000, 0.0000], [2.5801, 4.4688, 0.0000], [2.5801, 1.4896, 4.2132]],
  "species": ["Sb", "Sb", "Sc", "Se"],
  "frac_coords": [[0.0000, 0.0000, 0.0000], [0.2500, 0.2500, 0.2500], [0.5000, 0.5000, 0.5000], [0.7500, 0.7500, 0.7500]]
}


(2)
{
  "formula": "Sc2SbSe2",
  "functional": "PBE-GGA",
  "state": "relaxed",
  "formation_energy_uncorrected_ev_per_atom": -1.149,
  "space_group": "P4/mbm, No. 127",
  "dos_at_fermi_per_ev_cell": 2.96,
  "m_tot_mub_per_fu": 0.00,
  "lattice_angstrom": [[7.8642, 0.0000, 0.0000], [0.0000, 7.8642, 0.0000], [0.0000, 0.0000, 3.4880]],
  "species": ["Sc", "Sc", "Sc", "Sc", "Sb", "Sb", "Se", "Se", "Se", "Se"],
  "frac_coords": [[0.3453, 0.8453, 0.0000], [0.8453, 0.6547, 0.0000], [0.6547, 0.1547, 0.0000], [0.1547, 0.3453, 0.0000], [0.0000, 0.0000, 0.0000], [0.5000, 0.5000, 0.0000], [0.1377, 0.6377, 0.5000], [0.6377, 0.8623, 0.5000], [0.8623, 0.3623, 0.5000], [0.3623, 0.1377, 0.5000]]
}


(3)
{
  "formula": "Sc6Sb3Se",
  "functional": "PBE-GGA",
  "state": "relaxed",
  "formation_energy_uncorrected_ev_per_atom": -0.806,
  "space_group": "Cmc2_1, No. 36",
  "dos_at_fermi_per_ev_cell": 23.21,
  "m_tot_mub_per_fu": 1.20,
  "lattice_angstrom": [[6.9128, 0.0000, 0.0000], [0.0000, 8.7018, 0.1049], [0.0000, -1.8396, 8.5058]],
  "species": ["Sc", "Sc", "Sc", "Sc", "Sc", "Sc", "Sc", "Sc", "Sc", "Sc", "Sc", "Sc", "Sb", "Sb", "Sb", "Sb", "Sb", "Sb", "Se", "Se"],
  "frac_coords": [[0.1766, 0.7073, 0.6117], [0.6766, 0.6117, 0.7073], [0.1981, 0.4230, 0.9102], [0.6981, 0.9102, 0.4230], [0.2512, 0.0116, 0.9884], [0.6453, 0.2431, 0.7569], [0.1453, 0.7569, 0.2431], [0.7512, 0.9884, 0.0116], [0.1981, 0.0898, 0.5770], [0.6981, 0.5770, 0.0898], [0.1766, 0.3883, 0.2927], [0.6766, 0.2927, 0.3883], [0.4979, 0.9162, 0.7159], [0.9979, 0.7159, 0.9162], [0.3566, 0.4018, 0.5982], [0.8566, 0.5982, 0.4018], [0.9979, 0.0838, 0.2841], [0.4979, 0.2841, 0.0838], [0.9870, 0.1573, 0.8427], [0.4870, 0.8427, 0.1573]]
}


(4)
{
  "formula": "Sc6Sb5Se",
  "functional": "PBE-GGA",
  "state": "relaxed",
  "formation_energy_uncorrected_ev_per_atom": -1.055,
  "space_group": "C2/m, No. 12",
  "dos_at_fermi_per_ev_cell": 3.53,
  "m_tot_mub_per_fu": 0.00,
  "lattice_angstrom": [[-4.4090, 5.5921, -0.3575], [0.7628, -4.2876, -5.6456], [-3.8283, -4.2705, 4.2344]],
  "species": ["Sc", "Sc", "Sc", "Sc", "Sc", "Sc", "Sb", "Sb", "Sb", "Sb", "Sb", "Se"],
  "frac_coords": [[0.4065, 0.0809, 0.2440], [0.9191, 0.5935, 0.7560], [0.2419, 0.2419, 0.7494], [0.7581, 0.7581, 0.2506], [0.0809, 0.4065, 0.2440], [0.5935, 0.9191, 0.7560], [0.8295, 0.1705, 0.5000], [0.6657, 0.3343, 0.0000], [0.5000, 0.5000, 0.5000], [0.3343, 0.6657, 0.0000], [0.1705, 0.8295, 0.5000], [0.0000, 0.0000, 0.0000]]
}